# 1
Compound: TbFe3Si3
Source: Alexandria via LeMat-Bulk
Functional: PBE
Structure: relaxed

Lattice parameters (Å, degrees): 6.0844 6.0844 20.5377 90.00 90.00 120.00
Space group R-3 (No. 148, hexagonal axes)
One atom of each set of equivalent atoms:
Tb 0.0000 0.0000 0.1686 x6
Fe 0.0478 0.2847 0.7027 x18
Si 0.0275 0.2519 0.5865 x18

## Properties
M_tot   33.64 Bohr magnetons per cell
Mass density   6.2 g cm⁻³
DOS(E_F)   34.2 states/eV per cell
VASP energy   -286.729 eV per cell

---

# 2
Compound: TbFeSi
Source: Alexandria via LeMat-Bulk
Functional: PBE
Structure: relaxed

Lattice parameters (Å, degrees): 4.023 4.023 13.340 90.00 90.00 90.00
Space group I4/mmm (No. 139)
One atom of each set of equivalent atoms:
Tb 0.000 0.000 0.152 x4
Fe 0.000 0.500 0.000 x4
Si 0.000 0.000 0.403 x4

## Properties
M_tot   0.74 Bohr magnetons per cell
Mass density   7.5 g cm⁻³
DOS(E_F)   6.9 states/eV per cell
VASP energy   -81.034 eV per cell

---

# 3
Compound: Tb3Fe2Si4
Source: Alexandria via LeMat-Bulk
Functional: PBE
Structure: relaxed

Lattice parameters (Å, degrees): 10.541 4.078 7.881 90.00 107.22 90.00
Space group C2/m (No. 12)
One atom of each set of equivalent atoms:
Tb 0.000 0.000 0.000 x2
Tb 0.116 0.500 0.693 x4
Fe 0.189 0.500 0.362 x4
Si 0.111 0.000 0.406 x4
Si 0.219 0.500 0.082 x4

## Properties
M_tot   0.00 Bohr magnetons per cell
Mass density   7.2 g cm⁻³
DOS(E_F)   12.2 states/eV per cell
VASP energy   -117.405 eV per cell

---

# 4
Compound: TbFeSi2
Source: Alexandria via LeMat-Bulk
Functional: PBE
Structure: relaxed

Lattice parameters (Å, degrees): 6.776 3.949 9.773 90.00 90.00 90.00
Space group Pnma (No. 62)
One atom of each set of equivalent atoms:
Tb 0.158 0.250 0.124 x4
Fe 0.014 0.750 0.390 x4
Si 0.155 0.250 0.813 x4
Si 0.182 0.250 0.424 x4

## Properties
M_tot   0.00 Bohr magnetons per cell
Mass density   6.9 g cm⁻³
DOS(E_F)   7.8 states/eV per cell
VASP energy   -106.853 eV per cell